(1)
This record from Alexandria via LeMat-Bulk describes a geometry-optimized Li2CoOF3 structure. The functional is GGA-PBEsol.

Results
calculated density: 3.5 g/cm3
total energy: -152.56 eV per cell
energy relative to the elements, uncorrected: -2.2054 eV per atom

abc: 5.8345 5.8345 8.0238
angles: 90.00 90.00 90.00
Last column: nearest neighbours and their distance in Å.
Space group P4_1 (No. 76)
Unique sites:
1 Li 0.0103 0.2364 0.0000 (multiplicity 4)  5 F 1.93-2.01
2 Li 0.2390 0.7443 0.1190 (multiplicity 4)  3 F 1.85-1.91, 1 O 1.99
3 Co 0.2586 0.5021 0.7479 (multiplicity 4)  2 O 1.76-1.78, 2 F 1.92-1.95
4 O 0.2993 0.4819 0.9671 (multiplicity 4)  2 Co 1.76-1.78
5 F 0.0078 0.7504 0.7414 (multiplicity 4)  3 Li 1.85-1.94, 1 Co 2.06
6 F 0.0311 0.2640 0.7536 (multiplicity 4)  3 Li 1.91-2.00, 1 Co 1.92
7 F 0.2129 0.5006 0.5074 (multiplicity 4)  2 Li 1.90-2.01, 1 Co 1.95

(2)
This record from Alexandria via LeMat-Bulk describes a geometry-optimized Li2CoOF3 structure. The functional is GGA-PBEsol.

Results
calculated density: 3.5 g/cm3
total energy: -150.35 eV per cell
energy relative to the elements, uncorrected: -2.1265 eV per atom

abc: 8.9888 5.3714 5.6711
angles: 90.00 90.66 90.00
Last column: nearest neighbours and their distance in Å.
Space group Cc (No. 9)
Unique sites:
1 Li 0.0000 0.0073 0.0000 (multiplicity 4)  5 F 1.95-2.10
2 Li 0.3387 0.0252 0.8280 (multiplicity 4)  4 F 1.85-1.96
3 Co 0.1511 0.4329 0.6639 (multiplicity 4)  2 O 1.76-1.77, 1 F 1.92
4 O 0.2547 0.4413 0.9315 (multiplicity 4)  2 Co 1.76-1.77
5 F 0.0118 0.2766 0.2460 (multiplicity 4)  3 Li 1.95-2.10, 1 Co 2.06
6 F 0.2161 0.0805 0.5696 (multiplicity 4)  3 Li 1.85-2.03, 1 Co 2.05
7 F 0.4749 0.2474 0.2491 (multiplicity 4)  1 Co 1.92, 3 Li 1.95-2.00

(3)
This record from Alexandria via LeMat-Bulk describes a geometry-optimized LiCo2OF3 structure. The functional is GGA-PBEsol.

Results
calculated density: 4.6 g/cm3
total energy: -159.75 eV per cell
energy relative to the elements, uncorrected: -1.6377 eV per atom

abc: 5.9146 5.9714 8.1562
angles: 90.00 90.18 90.00
Last column: nearest neighbours and their distance in Å.
Space group P2 (No. 3)
Unique sites:
1 Li 0.0000 0.0000 0.0000 (multiplicity 1)  6 F 2.00-2.04
2 Li 0.2027 0.2555 0.2411 (multiplicity 2)  3 F 1.94-1.99, 2 O 2.07-2.14
3 Li 0.5000 0.0108 0.0000 (multiplicity 1)  6 F 1.96-2.06
4 Co 0.0000 0.5321 0.5000 (multiplicity 1)  2 O 1.79, 2 F 1.99
5 Co 0.2550 0.7291 0.2511 (multiplicity 2)  1 O 1.93, 5 F 2.03-2.11
6 Co 0.2739 0.0648 0.6151 (multiplicity 2)  1 O 1.80, 2 F 1.93-1.97
7 Co 0.3473 0.4952 0.8915 (multiplicity 2)  1 O 1.81, 2 F 1.94-1.95
8 Co 0.5000 0.3917 0.5000 (multiplicity 1)  4 O 1.80-1.88
9 O 0.2064 0.3136 0.5001 (multiplicity 2)  3 Co 1.79-1.80
10 O 0.4622 0.4820 0.2807 (multiplicity 2)  3 Co 1.81-1.93
11 F 0.0118 0.5129 0.7686 (multiplicity 2)  1 Li 1.99, 3 Co 2.04-2.22
12 F 0.0143 0.9905 0.2444 (multiplicity 2)  2 Li 1.94-2.00, 2 Co 2.10-2.11
13 F 0.2294 0.7757 0.5037 (multiplicity 2)  3 Co 1.97-2.09
14 F 0.2487 0.2264 0.0049 (multiplicity 2)  1 Co 1.94, 3 Li 1.95-2.00
15 F 0.2521 0.7681 0.0026 (multiplicity 2)  2 Co 1.95-2.04, 2 Li 2.04-2.06
16 F 0.4819 0.9837 0.2385 (multiplicity 2)  2 Co 1.93-2.03, 1 Li 1.96

Q: What is the formula in the second record?
A: Li2CoOF3